Record 1
{
  "formula": "Zr3Sc3Te2Pd",
  "functional": "PBE",
  "state": "optimized geometry",
  "lattice": [[7.8818, 0.0000, 0.0000], [-3.9409, 6.8258, 0.0000], [0.0000, 0.0000, 3.7178]],
  "species": ["Sc", "Sc", "Sc", "Zr", "Zr", "Zr", "Pd", "Te", "Te"],
  "fractional_positions": [[0.4000, 0.4000, 0.0000], [0.0000, 0.6000, 0.0000], [0.6000, 0.0000, 0.0000], [0.0000, 0.2510, 0.5000], [0.2510, 0.0000, 0.5000], [0.7490, 0.7490, 0.5000], [0.0000, 0.0000, 0.0000], [0.6667, 0.3333, 0.5000], [0.3333, 0.6667, 0.5000]],
  "final_energy_ev_per_cell": -62.1,
  "vol_a3_per_atom": 22.2,
  "de_polymorph_ev_per_fu": 0.07,
  "magnetic_moment_mub_per_atom": 0.00
}


Record 2
{
  "formula": "Gd7Pd2S2",
  "functional": "PBE",
  "state": "optimized geometry",
  "lattice": [[7.3948, -3.9099, -3.7494], [0.1219, 2.0655, 8.9301], [-1.9490, -5.1037, -7.3608]],
  "species": ["Gd", "Gd", "Gd", "Gd", "Gd", "Gd", "Gd", "Pd", "Pd", "S", "S"],
  "fractional_positions": [[0.0332, 0.4187, 0.6146], [0.5168, 0.0168, 0.5000], [0.1256, 0.2559, 0.8697], [0.4472, 0.6275, 0.8197], [0.3861, 0.2559, 0.1303], [0.8078, 0.6275, 0.1803], [0.8041, 0.4187, 0.3854], [0.1876, 0.9270, 0.2606], [0.6665, 0.9270, 0.7394], [0.7634, 0.7634, 0.0000], [0.1750, 0.6750, 0.5000]],
  "final_energy_ev_per_cell": -62.0,
  "vol_a3_per_atom": 25.1,
  "magnetic_moment_mub_per_atom": 0.00
}


Record 3
{
  "formula": "Na2WSe2S",
  "functional": "PBE",
  "state": "optimized geometry",
  "lattice": [[3.3738, -5.8136, 0.0000], [3.3738, 5.8136, 0.0000], [-2.2913, 0.0000, 6.7089]],
  "species": ["Se", "Se", "Se", "Se", "S", "S", "W", "W", "Na", "Na", "Na", "Na"],
  "fractional_positions": [[0.4469, 0.0726, 0.2169], [0.9274, 0.5531, 0.7831], [0.5531, 0.9274, 0.7831], [0.0726, 0.4469, 0.2169], [0.3067, 0.3067, 0.7916], [0.6933, 0.6933, 0.2084], [0.3411, 0.6589, 0.0000], [0.6589, 0.3411, 0.0000], [0.8516, 0.1484, 0.5000], [0.1484, 0.8516, 0.5000], [0.0000, 0.0000, 0.0000], [0.5000, 0.5000, 0.5000]],
  "final_energy_ev_per_cell": -61.0,
  "vol_a3_per_atom": 21.9,
  "magnetic_moment_mub_per_atom": 0.33
}